1.
Cu2ReTc after structural relaxation. Source: Alexandria via LeMat-Bulk, functional PBE-GGA.

Summary:
ΔE to the lowest computed polymorph, meV/atom: 82
DOS(E_F), states/eV/cell: 2.0
E_form, meV per atom: 222
Calculated density, Mg/m³: 12.80

Cell lengths 4.6539, 4.6539, 4.6539 Å; angles 135.82, 129.28, 69.50 degrees
With the nearest neighbours (Å) after each atom.
Fractional positions:
Cu1 0.9915 0.9915 0.0000  2 Cu 2.50, 4 Tc 2.63-2.73, 4 Re 2.65
Cu2 0.7583 0.2583 0.5000  2 Cu 2.50, 4 Re 2.63-2.73, 4 Tc 2.65
Re1 0.5016 0.5016 0.0000  4 Tc 2.61-2.75, 8 Cu 2.63-2.73
Tc1 0.2486 0.7486 0.5000  4 Re 2.61-2.75, 8 Cu 2.63-2.73


2.
Cu2ReTc after structural relaxation. Source: Alexandria via LeMat-Bulk, functional PBE-GGA.

Summary:
ΔE to the lowest computed polymorph, meV/atom: 376
DOS(E_F), states/eV/cell: 3.9
E_form, meV per atom: 516
Calculated density, Mg/m³: 12.87

Cell lengths 4.2177, 4.2177, 4.2177 Å; angles 60.00, 60.00, 60.00 degrees
With the nearest neighbours (Å) after each atom.
Fractional positions:
Re1 0.5000 0.5000 0.5000  8 Cu 2.58
Tc1 0.0000 0.0000 0.0000  8 Cu 2.58
Cu1 0.2500 0.2500 0.2500  4 Re 2.58, 4 Tc 2.58
Cu2 0.7500 0.7500 0.7500  4 Re 2.58, 4 Tc 2.58


3.
Cu2ReTc after structural relaxation. Source: Alexandria via LeMat-Bulk, functional PBE-GGA.

Summary:
ΔE to the lowest computed polymorph, meV/atom: 207
DOS(E_F), states/eV/cell: 6.9
E_form, meV per atom: 347
Calculated density, Mg/m³: 12.47

Cell lengths 8.9325, 8.9325, 8.9325 Å; angles 17.26, 17.26, 17.26 degrees
With the nearest neighbours (Å) after each atom.
Fractional positions:
Cu1 0.0000 0.0000 0.0000  6 Cu 2.68, 3 Tc 2.69, 3 Re 2.69
Cu2 0.5000 0.5000 0.5000  6 Cu 2.68, 3 Tc 2.69, 3 Re 2.69
Re1 0.2500 0.2500 0.2500  6 Re 2.68, 6 Cu 2.69
Tc1 0.7500 0.7500 0.7500  6 Tc 2.68, 6 Cu 2.69


4.
CuRe2Tc after structural relaxation. Source: Alexandria via LeMat-Bulk, functional PBE-GGA.

Summary:
ΔE to the lowest computed polymorph, meV/atom: 126
DOS(E_F), states/eV/cell: 4.1
E_form, meV per atom: 283
Calculated density, Mg/m³: 15.50

Cell lengths 5.0909, 5.0909, 5.0909 Å; angles 144.64, 130.77, 62.06 degrees
With the nearest neighbours (Å) after each atom.
Fractional positions:
Cu1 0.2500 0.7500 0.5000  4 Tc 2.62, 4 Re 2.66
Re1 0.0017 0.0017 0.0000  4 Re 2.62, 2 Cu 2.66, 2 Tc 2.69
Re2 0.4983 0.4983 0.0000  4 Re 2.62, 2 Cu 2.66, 2 Tc 2.69
Tc1 0.7500 0.2500 0.5000  4 Cu 2.62, 4 Re 2.69


5.
CuRe3Tc after structural relaxation. Source: Alexandria via LeMat-Bulk, functional PBE-GGA.

Summary:
ΔE to the lowest computed polymorph, meV/atom: 0
DOS(E_F), states/eV/cell: 6.1
E_form, meV per atom: 1986
Calculated density, Mg/m³: 14.20

Cell lengths 4.3829, 4.3829, 4.3829 Å; angles 90.00, 90.00, 90.00 degrees
With the nearest neighbours (Å) after each atom.
Fractional positions:
Re1 0.0000 0.5000 0.0000  2 Cu 2.19
Re2 0.0000 0.0000 0.5000  2 Cu 2.19
Re3 0.5000 0.0000 0.0000  2 Cu 2.19
Tc1 0.5000 0.5000 0.5000  12 Re 3.10
Cu1 0.0000 0.0000 0.0000  6 Re 2.19


6.
CuReTc after structural relaxation. Source: Alexandria via LeMat-Bulk, functional PBE-GGA.

Summary:
ΔE to the lowest computed polymorph, meV/atom: 0
DOS(E_F), states/eV/cell: 1.8
E_form, meV per atom: 144
Calculated density, Mg/m³: 13.82

Cell lengths 4.6219, 4.6219, 4.6219 Å; angles 145.93, 130.26, 61.67 degrees
With the nearest neighbours (Å) after each atom.
Fractional positions:
Cu1 0.0000 0.0000 0.0000  5 Tc 2.65-2.71, 5 Re 2.65-2.71, 2 Cu 2.71
Re1 0.3339 0.3339 0.0000  5 Tc 2.64-2.72, 5 Cu 2.65-2.71, 2 Re 2.71
Tc1 0.6661 0.6661 0.0000  5 Re 2.64-2.72, 5 Cu 2.65-2.71, 2 Tc 2.71


7.
CuRe2Tc after structural relaxation. Source: Alexandria via LeMat-Bulk, functional PBE-GGA.

Summary:
ΔE to the lowest computed polymorph, meV/atom: 0
DOS(E_F), states/eV/cell: 2.7
E_form, meV per atom: 157
Calculated density, Mg/m³: 15.33

Cell lengths 9.0216, 9.0216, 9.0216 Å; angles 17.48, 17.48, 17.48 degrees
With the nearest neighbours (Å) after each atom.
Fractional positions:
Cu1 0.7500 0.7500 0.7500  3 Re 2.72, 3 Tc 2.73, 6 Cu 2.74
Re1 0.0004 0.0004 0.0004  3 Cu 2.72, 9 Re 2.74-2.75
Re2 0.2495 0.2495 0.2495  3 Tc 2.71, 9 Re 2.74-2.75
Tc1 0.5001 0.5001 0.5001  3 Re 2.71, 3 Cu 2.73, 6 Tc 2.74


8.
CuReTc after structural relaxation. Source: Alexandria via LeMat-Bulk, functional PBE-GGA.

Summary:
ΔE to the lowest computed polymorph, meV/atom: 181
DOS(E_F), states/eV/cell: 2.7
E_form, meV per atom: 325
Calculated density, Mg/m³: 13.38

Cell lengths 7.0113, 6.8267, 2.6386 Å; angles 82.97, 75.09, 21.93 degrees
With the nearest neighbours (Å) after each atom.
Fractional positions:
Cu1 0.9998 0.9998 0.0002  4 Cu 2.64, 2 Re 2.68, 2 Tc 2.69
Re1 0.3321 0.3321 0.6679  4 Re 2.64, 2 Tc 2.64, 2 Cu 2.68
Tc1 0.6682 0.6682 0.3318  4 Tc 2.64, 2 Re 2.64, 2 Cu 2.69


9.
CuRe3Tc after structural relaxation. Source: Alexandria via LeMat-Bulk, functional PBE-GGA.

Summary:
ΔE to the lowest computed polymorph, meV/atom: 317
DOS(E_F), states/eV/cell: 6.2
E_form, meV per atom: 2303
Calculated density, Mg/m³: 11.85

Cell lengths 4.6558, 4.6558, 4.6558 Å; angles 90.00, 90.00, 90.00 degrees
With the nearest neighbours (Å) after each atom.
Fractional positions:
Re1 0.0000 0.5000 0.0000  2 Tc 2.33
Re2 0.0000 0.0000 0.5000  2 Tc 2.33
Re3 0.5000 0.0000 0.0000  2 Tc 2.33
Tc1 0.0000 0.0000 0.0000  6 Re 2.33
Cu1 0.5000 0.5000 0.5000  12 Re 3.29


10.
CuRe2Tc after structural relaxation. Source: Alexandria via LeMat-Bulk, functional PBE-GGA.

Summary:
ΔE to the lowest computed polymorph, meV/atom: 183
DOS(E_F), states/eV/cell: 3.9
E_form, meV per atom: 340
Calculated density, Mg/m³: 15.23

Cell lengths 2.6501, 2.6501, 8.9978 Å; angles 90.00, 90.00, 112.87 degrees
With the nearest neighbours (Å) after each atom.
Fractional positions:
Cu1 0.5000 0.5000 0.7500  6 Cu 2.65-2.93, 4 Re 2.68
Re1 0.0000 0.0000 0.9991  6 Re 2.65-2.93, 2 Cu 2.68, 2 Tc 2.69
Re2 0.0000 0.0000 0.5009  6 Re 2.65-2.93, 2 Cu 2.68, 2 Tc 2.69
Tc1 0.5000 0.5000 0.2500  6 Tc 2.65-2.93, 4 Re 2.69


11.
CuReTc after structural relaxation. Source: Alexandria via LeMat-Bulk, functional PBE-GGA.

Summary:
ΔE to the lowest computed polymorph, meV/atom: 609
DOS(E_F), states/eV/cell: 4.2
E_form, meV per atom: 753
Calculated density, Mg/m³: 11.48

Cell lengths 4.1434, 4.1434, 4.1434 Å; angles 60.00, 60.00, 60.00 degrees
With the nearest neighbours (Å) after each atom.
Fractional positions:
Cu1 0.5000 0.5000 0.5000  4 Re 2.54
Re1 0.7500 0.7500 0.7500  4 Cu 2.54, 4 Tc 2.54
Tc1 0.0000 0.0000 0.0000  4 Re 2.54


12.
Cu2ReTc after structural relaxation. Source: Alexandria via LeMat-Bulk, functional PBE-GGA.

Summary:
ΔE to the lowest computed polymorph, meV/atom: 0
DOS(E_F), states/eV/cell: 2.9
E_form, meV per atom: 140
Calculated density, Mg/m³: 12.35

Cell lengths 8.7545, 8.7545, 8.7545 Å; angles 17.89, 17.89, 17.89 degrees
With the nearest neighbours (Å) after each atom.
Fractional positions:
Cu1 0.9974 0.9974 0.9974  9 Cu 2.56-2.72, 3 Tc 2.74
Cu2 0.2527 0.2527 0.2527  9 Cu 2.56-2.72, 3 Re 2.74
Re1 0.4992 0.4992 0.4992  3 Tc 2.64, 6 Re 2.72, 3 Cu 2.74
Tc1 0.7507 0.7507 0.7507  3 Re 2.64, 6 Tc 2.72, 3 Cu 2.74


> Among the records above, which one has the highest DOS(E_F)?

number 3


> Which of these has the highest E_form?

number 9